1.
12
Lattice="-0.0835 6.4677 -2.6025 -0.6811 -4.1396 5.5687 10.6976 0.9482 2.0132" Properties=species:S:1:pos:R:3 comment="PBE TlPdAuSe3, optimized geometry" total_energy_ev_per_atom=-3.74 vol_a3_per_cell=281.7 polymorph_energy_kj_per_mol_atoms=0.0 pbc="T T T"
Pd 0.0000 0.0000 0.0000
Tl 7.5203 -0.2645 4.6412
Se 4.6795 0.3201 3.4502
Se 2.0100 -3.6060 5.8435
Tl 2.4127 3.5407 0.3382
Au 2.2137 0.0093 3.0585
Se 7.9230 6.8822 -0.8641
Pd 5.3488 0.4741 1.0066
Se 10.1747 3.3924 2.4554
Se 5.2535 2.9562 1.5292
Se -0.2417 -0.1161 2.5241
Au 7.7193 3.2669 1.9209


2.
5
Lattice="-0.0830 2.1487 -3.3634 -2.7478 -5.5296 -3.4649 -5.7067 -3.5944 -2.1555" Properties=species:S:1:pos:R:3 comment="PBE YHoInFe2, optimized geometry" total_energy_ev_per_atom=-6.29 vol_a3_per_cell=102.7 pbc="T T T"
Ho -5.4005 -5.8281 -3.5902
Y -3.0678 -3.3107 -2.0394
Fe -6.7191 -6.1320 -6.1208
In -0.0475 1.0679 -1.6857
Fe -1.7987 -0.8220 -2.8499


3.
10
Lattice="-5.7327 0.0000 0.0000 2.8664 -4.9647 0.0000 -2.8664 1.6549 4.9530" Properties=species:S:1:pos:R:3 comment="PBE Si3Ni2, optimized geometry" total_energy_ev_per_atom=-5.65 vol_a3_per_cell=141.0 pbc="T T T"
Ni 0.0000 -3.3098 0.0162
Si -4.7287 -1.5708 1.2383
Si -1.8624 -0.0841 1.2383
Ni -5.7327 0.0000 4.9368
Ni 0.0000 -3.3098 2.4603
Ni -5.7327 0.0000 2.4927
Si -3.7247 0.0000 3.7147
Si -3.8704 -3.2257 3.7147
Si -1.0040 -1.7390 3.7147
Si -2.0080 -3.3098 1.2383


4.
8
Lattice="-2.6270 1.7772 -0.6771 0.3689 -2.9270 -1.3470 -6.7559 -5.8490 10.8596" Properties=species:S:1:pos:R:3 comment="PBE Nb4PbAuC2, optimized geometry" total_energy_ev_per_atom=-8.54 vol_a3_per_cell=128.1 pbc="T T T"
C -3.2591 -1.2027 1.7209
Pb -4.0077 -4.2835 4.3061
C -6.7536 -4.2281 7.3379
Nb -2.1950 -1.9003 3.5283
Nb -1.7099 -2.2941 0.6126
Au 0.0000 0.0000 0.0000
Nb -4.5609 -3.9487 7.3313
Nb -6.3055 -6.2728 7.9996


5.
14
Lattice="-4.8050 -0.4039 3.4084 4.8987 -6.0130 6.1934 1.3771 3.5554 2.3626" Properties=species:S:1:pos:R:3 comment="PBE RePbIO4, optimized geometry" total_energy_ev_per_atom=-6.67 vol_a3_per_cell=262.9 pbc="T T T"
O 2.0873 -4.9972 7.4654
I 0.4907 -2.8533 5.4687
I 3.1665 -0.3640 4.4208
Pb 3.6973 -3.5008 4.7974
O -2.3709 -1.0701 4.2141
O 1.4732 1.5303 2.2582
Re 2.9120 -2.7973 8.8887
O 0.0417 -0.8673 2.5027
O 4.8663 -5.3027 6.2319
Re 0.9580 0.1292 1.3658
O -1.3295 1.7744 3.4510
O 1.1459 -2.7507 8.9512
Pb 0.0322 0.4699 5.2160
O 3.5382 -2.5496 7.2542


6.
8
Lattice="4.9228 0.0000 0.0000 0.0000 4.9724 0.0000 0.0000 0.0000 4.9738" Properties=species:S:1:pos:R:3 comment="PBE SrCdO2, optimized geometry" total_energy_ev_per_atom=-4.97 vol_a3_per_cell=121.7 pbc="T T T"
O 0.0054 3.7293 1.2440
Cd 4.9179 3.7293 3.7300
O 2.4444 1.2431 1.2436
Sr 2.4546 1.2431 3.7305
Cd 0.0050 1.2431 1.2438
Sr 2.4682 3.7293 1.2432
O 2.4784 3.7293 3.7301
O 4.9174 1.2431 3.7297


7.
24
Lattice="-13.6527 4.6648 4.5182 -0.7114 -3.6391 1.6075 4.2795 3.3486 9.4743" Properties=species:S:1:pos:R:3 comment="PBE KErFeSe3, optimized geometry" total_energy_ev_per_atom=-5.29 vol_a3_per_cell=667.3 polymorph_energy_kj_per_mol_atoms=0.4 pbc="T T T"
Se -1.1246 -1.2659 4.2568
Se -5.9068 3.8045 8.5385
K -10.0477 2.6317 4.0512
Se 0.9365 -0.2625 7.4404
Se 2.4341 2.6572 9.6326
K -0.0368 1.7426 11.5488
Se -8.0554 0.9847 6.2846
Er -5.7583 2.6545 6.0010
Se -4.1777 0.5699 7.0615
Se -8.9600 5.6403 11.3432
Fe -2.9409 4.4475 11.3068
Se -12.5187 1.7171 5.9674
Se -4.7529 2.9595 12.2165
Se -2.0292 3.3896 9.3154
Se -5.3316 1.4148 3.3835
Fe 1.1151 -1.2848 5.2053
Er -4.3263 1.7198 9.5990
Er -10.3434 4.6855 13.6497
Se -11.0210 4.6368 8.1596
K -1.3826 1.7381 5.8629
Fe -11.1996 5.6591 10.3947
Er 0.2588 -0.3111 1.9503
K -8.7019 2.6362 9.7371
Fe -7.1437 -0.0732 4.2932


8.
3
Lattice="0.0000 3.0994 3.0994 3.0994 0.0000 3.0994 3.0994 3.0994 0.0000" Properties=species:S:1:pos:R:3 comment="PBE LiPuOs, optimized geometry" total_energy_ev_per_atom=-8.78 vol_a3_per_cell=59.6 polymorph_energy_kj_per_mol_atoms=0.0 pbc="T T T"
Li 1.5497 1.5497 1.5497
Os 0.0000 0.0000 0.0000
Pu 4.6492 4.6492 4.6492


9.
4
Lattice="0.0000 3.1911 3.1911 3.1911 0.0000 3.1911 3.1911 3.1911 0.0000" Properties=species:S:1:pos:R:3 comment="PBE TlCuOsPd, optimized geometry" total_energy_ev_per_atom=-4.99 vol_a3_per_cell=65.0 polymorph_energy_kj_per_mol_atoms=0.0 pbc="T T T"
Pd 3.1911 3.1911 3.1911
Cu 4.7867 4.7867 4.7867
Os 1.5956 1.5956 1.5956
Tl 0.0000 0.0000 0.0000


10.
6
Lattice="5.1294 -6.4125 -1.2859 6.0285 0.5771 -5.6929 7.9444 0.4878 2.3945" Properties=species:S:1:pos:R:3 comment="PBE Tc2Au, optimized geometry" total_energy_ev_per_atom=-4.69 vol_a3_per_cell=406.0 polymorph_energy_kj_per_mol_atoms=267.0 pbc="T T T"
Tc 11.1355 -1.7614 -0.5219
Tc 10.1776 -1.7168 -4.5656
Au 4.7756 -1.3369 -1.1461
Au 9.5511 -2.6738 -2.2922
Tc 9.7280 -5.2116 -2.3621
Tc 7.1633 -2.0053 -1.7191


11.
12
Lattice="3.6600 0.0000 0.0000 1.8300 7.0082 0.0000 0.0000 0.0000 9.3413" Properties=species:S:1:pos:R:3 comment="PBE TlCuIrS3, optimized geometry" total_energy_ev_per_atom=-4.75 vol_a3_per_cell=239.6 polymorph_energy_kj_per_mol_atoms=8.7 pbc="T T T"
S 3.6600 5.4552 9.0056
Ir 0.0000 0.0000 4.6706
Cu 3.6600 6.5049 7.0059
S 3.6600 5.4552 5.0063
Cu 1.8300 0.5034 2.3353
S 1.8300 1.5531 0.3357
Tl 3.6600 3.4671 2.3353
Ir 0.0000 0.0000 0.0000
S 3.6600 0.9013 7.0059
S 1.8300 6.1069 2.3353
S 1.8300 1.5531 4.3350
Tl 1.8300 3.5411 7.0059


12.
13
Lattice="-0.6122 -6.6064 -0.8214 -1.5870 4.4771 4.7043 -4.4422 1.9108 -4.6163" Properties=species:S:1:pos:R:3 comment="PBE TbZn8Cu4, optimized geometry" total_energy_ev_per_atom=-2.48 vol_a3_per_cell=190.8 pbc="T T T"
Cu -2.2211 0.9554 -2.3081
Cu -0.7935 2.2386 2.3522
Zn -4.2216 -0.5526 -2.6941
Zn -2.0986 2.2235 0.0307
Zn -3.2951 -3.0612 -3.5450
Zn -2.2064 -2.0928 0.7508
Zn -4.4351 1.8743 -1.4842
Cu -0.3061 -3.3032 -0.4107
Zn -2.4198 0.3341 1.9607
Zn -1.7593 -1.6344 -1.8927
Zn -3.9306 4.1645 0.0574
Tb 0.0000 0.0000 0.0000
Cu -3.3207 -0.1092 -0.3667